--- i ---
# Tl5Pb3Cl12, optimized geometry, DFT PBE-GGA
data_Tl5Pb3Cl12
_symmetry_space_group_name_H-M 'I a -3 d'
_symmetry_Int_Tables_number 230
_symmetry_space_group_name_Hall '-I 4bd 2c 3'
_cell_length_a 17.6627
_cell_length_b 17.6627
_cell_length_c 17.6627
_cell_angle_alpha 90.00
_cell_angle_beta 90.00
_cell_angle_gamma 90.00
loop_
_atom_site_label
_atom_site_fract_x
_atom_site_fract_y
_atom_site_fract_z
Tl1 0.0000 0.0000 0.0000
Tl2 0.0000 0.2500 0.3750
Pb1 0.0000 0.2500 0.1250
Cl1 0.0180 0.0833 0.6497
# total magnetic moment: 0.00 μB per formula unit

---

--- ii ---
# Tl5Pb3Cl12, optimized geometry, DFT PBE-GGA
data_Tl5Pb3Cl12
_symmetry_space_group_name_H-M 'P -6 2 m'
_symmetry_Int_Tables_number 189
_symmetry_space_group_name_Hall 'P -6 -2'
_cell_length_a 13.1871
_cell_length_b 13.1871
_cell_length_c 4.4008
_cell_angle_alpha 90.00
_cell_angle_beta 90.00
_cell_angle_gamma 120.00
loop_
_atom_site_label
_atom_site_fract_x
_atom_site_fract_y
_atom_site_fract_z
Tl1 0.0000 0.2919 0.0000
Tl2 0.3333 0.6667 0.0000
Pb1 0.0000 0.6707 0.5000
Cl1 0.0000 0.5295 0.0000
Cl2 0.0000 0.8137 0.0000
Cl3 0.2004 0.4502 0.5000
# total magnetic moment: 0.00 μB per formula unit

---

Stability, descending: ii, i

---

--- i ---
# V3PbCl, optimized geometry, DFT PBE-GGA
data_V3PbCl
_symmetry_space_group_name_H-M 'P m -3 m'
_symmetry_Int_Tables_number 221
_symmetry_space_group_name_Hall '-P 4 2 3'
_cell_length_a 4.3433
_cell_length_b 4.3433
_cell_length_c 4.3433
_cell_angle_alpha 90.00
_cell_angle_beta 90.00
_cell_angle_gamma 90.00
loop_
_atom_site_label
_atom_site_fract_x
_atom_site_fract_y
_atom_site_fract_z
V1 0.0000 0.0000 0.5000
Pb1 0.5000 0.5000 0.5000
Cl1 0.0000 0.0000 0.0000
# total magnetic moment: 0.00 μB per formula unit

---

--- ii ---
# V3PbCl, optimized geometry, DFT PBE-GGA
data_V3PbCl
_symmetry_space_group_name_H-M 'P m -3 m'
_symmetry_Int_Tables_number 221
_symmetry_space_group_name_Hall '-P 4 2 3'
_cell_length_a 5.2919
_cell_length_b 5.2919
_cell_length_c 5.2919
_cell_angle_alpha 90.00
_cell_angle_beta 90.00
_cell_angle_gamma 90.00
loop_
_atom_site_label
_atom_site_fract_x
_atom_site_fract_y
_atom_site_fract_z
V1 0.0000 0.0000 0.5000
Pb1 0.0000 0.0000 0.0000
Cl1 0.5000 0.5000 0.5000
# total magnetic moment: 10.00 μB per formula unit

---

Stability, descending: i, ii

---

--- i ---
# VPb3Cl, optimized geometry, DFT PBE-GGA
data_VPb3Cl
_symmetry_space_group_name_H-M 'P m -3 m'
_symmetry_Int_Tables_number 221
_symmetry_space_group_name_Hall '-P 4 2 3'
_cell_length_a 5.4807
_cell_length_b 5.4807
_cell_length_c 5.4807
_cell_angle_alpha 90.00
_cell_angle_beta 90.00
_cell_angle_gamma 90.00
loop_
_atom_site_label
_atom_site_fract_x
_atom_site_fract_y
_atom_site_fract_z
V1 0.0000 0.0000 0.0000
Pb1 0.0000 0.5000 0.5000
Cl1 0.5000 0.5000 0.5000
# total magnetic moment: 3.69 μB per formula unit

---

--- ii ---
# VPb3Cl, optimized geometry, DFT PBE-GGA
data_VPb3Cl
_symmetry_space_group_name_H-M 'P m -3 m'
_symmetry_Int_Tables_number 221
_symmetry_space_group_name_Hall '-P 4 2 3'
_cell_length_a 5.2907
_cell_length_b 5.2907
_cell_length_c 5.2907
_cell_angle_alpha 90.00
_cell_angle_beta 90.00
_cell_angle_gamma 90.00
loop_
_atom_site_label
_atom_site_fract_x
_atom_site_fract_y
_atom_site_fract_z
V1 0.0000 0.0000 0.0000
Pb1 0.0000 0.0000 0.5000
Cl1 0.5000 0.5000 0.5000
# total magnetic moment: 0.00 μB per formula unit

---

Stability, descending: ii, i